1.
Entry from the Alexandria database: a relaxed SrLaTlCuO5 crystal (PBE-GGA).

Unit cell a=3.809 b=3.809 c=8.918 alpha=90.00 beta=90.00 gamma=90.00
Positions (direct):
Sr  0.500  0.500  0.784
La  0.500  0.500  0.197
Tl  0.000  0.000  0.497
Cu  0.000  0.000  0.991
O  0.000  0.000  0.732
O  0.000  0.000  0.261
O  0.000  0.500  0.010
O  0.500  0.000  0.010
O  0.500  0.500  0.479

Energy relative to the elements, uncorrected in eV per atom: -1.90


2.
Entry from the Alexandria database: a relaxed Nd3Y4Er4 crystal (PBE-GGA).

Unit cell a=5.285 b=9.266 c=9.266 alpha=66.07 beta=73.43 gamma=73.43
Positions (direct):
Nd  0.884  0.116  0.116
Nd  0.116  0.884  0.884
Nd  0.000  0.500  0.500
Y  0.676  0.157  0.492
Y  0.324  0.508  0.843
Y  0.324  0.843  0.508
Y  0.676  0.492  0.157
Er  0.736  0.764  0.764
Er  0.264  0.236  0.236
Er  0.500  0.850  0.150
Er  0.500  0.150  0.850

Polymorph energy (0 for the lowest one) in kJ per mole of atoms: 19.2
Calculated formation energy in eV per atom: 0.36


3.
Entry from the Alexandria database: a relaxed AcNdSm2Y crystal (PBE-GGA).

Unit cell a=5.936 b=6.503 c=9.911 alpha=71.28 beta=90.00 gamma=90.00
Positions (direct):
Ac  0.750  0.569  0.200
Ac  0.250  0.431  0.800
Nd  0.250  0.839  0.998
Nd  0.750  0.161  0.002
Sm  0.750  0.775  0.792
Sm  0.250  0.225  0.208
Sm  0.250  0.034  0.596
Sm  0.750  0.966  0.404
Y  0.750  0.364  0.596
Y  0.250  0.636  0.404

Calculated formation energy in eV per atom: 0.04


4.
Entry from the Alexandria database: a relaxed Ca2TaTl crystal (PBE-GGA).

Unit cell a=3.651 b=5.292 c=5.291 alpha=90.00 beta=90.00 gamma=90.00
Positions (direct):
Tl  0.000  0.500  0.500
Ca  0.000  0.000  0.000
Ca  0.500  0.500  0.000
Ta  0.500  0.000  0.500

Polymorph energy (0 for the lowest one) in kJ per mole of atoms: 22.5
Calculated formation energy in eV per atom: 0.58


5.
Entry from the Alexandria database: a relaxed SrSb2 crystal (PBE-GGA).

Unit cell a=10.597 b=10.597 c=10.597 alpha=155.30 beta=155.30 gamma=35.21
Positions (direct):
Sr  0.000  0.000  0.000
Sr  0.750  0.250  0.500
Sb  0.575  0.575  0.000
Sb  0.175  0.675  0.500
Sb  0.425  0.425  0.000
Sb  0.325  0.825  0.500

Energy relative to the elements, uncorrected in eV per atom: -0.54


6.
Entry from the Alexandria database: a relaxed La2MoBr crystal (PBE-GGA).

Unit cell a=3.913 b=4.772 c=6.059 alpha=90.00 beta=90.00 gamma=90.00
Positions (direct):
Mo  0.000  0.000  0.336
Br  0.500  0.500  0.863
La  0.000  0.000  0.938
La  0.500  0.500  0.363

Polymorph energy (0 for the lowest one) in kJ per mole of atoms: 6.5
Energy relative to the elements, uncorrected in eV per atom: -0.30


7.
Entry from the Alexandria database: a relaxed Ca3LaB crystal (PBE-GGA).

Unit cell a=5.453 b=5.453 c=5.453 alpha=90.00 beta=90.00 gamma=90.00
Positions (direct):
Ca  0.000  0.500  0.000
Ca  0.000  0.000  0.500
Ca  0.500  0.000  0.000
B  0.000  0.000  0.000
La  0.500  0.500  0.500

Polymorph energy (0 for the lowest one) in kJ per mole of atoms: 0.0
Calculated formation energy in eV per atom: 0.33


8.
Entry from the Alexandria database: a relaxed Sc3As crystal (PBE-GGA).

Unit cell a=5.614 b=5.614 c=5.614 alpha=116.42 beta=116.42 gamma=116.42
Positions (direct):
As  0.000  0.000  0.000
Sc  0.500  0.000  0.500
Sc  0.500  0.500  0.000
Sc  0.000  0.500  0.500

Calculated formation energy in eV per atom: -0.34